Record 1
3
Lattice="3.327 0.000 0.000 -1.664 2.881 0.000 0.000 0.000 5.807" Properties=species:S:1:pos:R:3 comment="SnIrC (PBE, relaxed)" vol_a3_per_cell=55.7 density_kg_m3=9633 de_polymorph_kj_per_mol_fu=0 pbc="T T T"
Sn 0.000 0.000 0.000
Ir 0.000 0.000 2.904
C 0.000 1.921 2.904

***

Record 2
5
Lattice="8.240 0.000 0.000 0.000 8.240 0.000 0.000 0.000 4.766" Properties=species:S:1:pos:R:3 comment="Cs2KSrF (PBE, relaxed)" total_energy_ev_per_cell=-11.436 vol_a3_per_cell=323.6 density_kg_m3=2112 pbc="T T T"
Cs 0.000 4.120 0.000
Cs 4.120 0.000 0.000
K 0.000 0.000 2.383
Sr 4.120 4.120 2.383
F 4.120 4.120 0.000

***

Record 3
4
Lattice="2.830 0.000 0.000 0.000 2.830 0.000 0.000 0.000 6.998" Properties=species:S:1:pos:R:3 comment="PPtRh2 (PBE, relaxed)" total_energy_ev_per_cell=-27.221 vol_a3_per_cell=56.0 density_kg_m3=12799 pbc="T T T"
P 0.000 0.000 0.000
Pt 0.000 0.000 3.499
Rh 1.415 1.415 1.428
Rh 1.415 1.415 5.570

***

Record 4
4
Lattice="0.000 3.640 3.640 3.640 0.000 3.640 3.640 3.640 0.000" Properties=species:S:1:pos:R:3 comment="TbMgZrIn (PBE, relaxed)" total_energy_ev_per_cell=-18.220 vol_a3_per_cell=96.5 density_kg_m3=6699 pbc="T T T"
Tb 0.000 0.000 0.000
Mg 1.820 1.820 1.820
Zr 3.640 3.640 3.640
In 5.461 5.461 5.461